# ZnGa2CoSn

ZnGa2CoSn after structural relaxation (GGA-PBEsol, the Alexandria database).

```
ZnGa2CoSn
1.0
5.218 0.000 0.000
0.000 5.218 0.000
0.000 0.000 4.750
Zn Ga Co Sn
1 2 1 1
direct
0.000 0.000 0.000
0.000 0.500 0.500
0.500 0.000 0.500
0.500 0.500 0.000
0.500 0.500 0.500
```

Computed properties:
- Crystal system: tetragonal
- Total energy: -3.042 eV per atom

# ReIrPt3

ReIrPt3 after structural relaxation (GGA-PBEsol, the Alexandria database).

```
ReIrPt3
1.0
4.673 0.000 0.000
0.000 4.673 0.000
0.000 0.000 4.673
Re Ir Pt
1 1 3
direct
0.000 0.000 0.000
0.500 0.500 0.500
0.000 0.000 0.500
0.000 0.500 0.000
0.500 0.000 0.000
```

Computed properties:
- Crystal system: cubic
- Total energy: -6.797 eV per atom

# MnZn2Au

MnZn2Au after structural relaxation (GGA-PBEsol, the Alexandria database).

```
MnZn2Au
1.0
2.771 0.000 0.000
0.000 2.771 0.000
0.000 0.000 7.318
Mn Zn Au
1 2 1
direct
0.000 0.000 0.000
0.500 0.500 0.232
0.500 0.500 0.768
0.000 0.000 0.500
```

Computed properties:
- Crystal system: tetragonal
- Total energy: -4.247 eV per atom

# Cs3GaO3

Cs3GaO3 after structural relaxation (GGA-PBEsol, the Alexandria database).

```
Cs3GaO3
1.0
9.100 0.000 0.000
0.000 9.100 0.000
0.000 0.000 9.100
Cs Ga O
12 4 12
direct
0.011 0.011 0.011
0.221 0.279 0.721
0.247 0.747 0.753
0.253 0.253 0.253
0.279 0.721 0.221
0.489 0.989 0.511
0.511 0.489 0.989
0.721 0.221 0.279
0.747 0.753 0.247
0.753 0.247 0.747
0.779 0.779 0.779
0.989 0.511 0.489
0.038 0.538 0.962
0.462 0.462 0.462
0.538 0.962 0.038
0.962 0.038 0.538
0.012 0.205 0.445
0.055 0.988 0.705
0.205 0.445 0.012
0.295 0.555 0.512
0.445 0.012 0.205
0.488 0.795 0.945
0.512 0.295 0.555
0.555 0.512 0.295
0.705 0.055 0.988
0.795 0.945 0.488
0.945 0.488 0.795
0.988 0.705 0.055
```

Computed properties:
- Uncorrected formation energy: -1.4910 eV/atom
- Crystal system: cubic

# SrMg2Ag2

SrMg2Ag2 after structural relaxation (GGA-PBEsol, the Alexandria database).

```
SrMg2Ag2
1.0
-2.192 2.192 6.290
2.192 -2.192 6.290
2.192 2.192 -6.290
Sr Mg Ag
1 2 2
direct
0.000 0.000 0.000
0.250 0.750 0.500
0.750 0.250 0.500
0.390 0.390 0.000
0.610 0.610 0.000
```

Computed properties:
- Crystal system: tetragonal
- Total energy: -2.605 eV per atom

# LiWF2

LiWF2 after structural relaxation (GGA-PBEsol, the Alexandria database).

```
LiWF2
1.0
1.374 0.794 6.334
-1.374 0.794 6.334
0.000 -1.587 6.334
Li W F
1 1 2
direct
0.000 0.000 0.000
0.500 0.500 0.500
0.392 0.392 0.392
0.608 0.608 0.608
```

Computed properties:
- Uncorrected formation energy: -1.9368 eV/atom
- Crystal system: trigonal

# BaSbW2

BaSbW2 after structural relaxation (GGA-PBEsol, the Alexandria database).

```
BaSbW2
1.0
3.356 0.000 0.000
0.000 4.002 0.000
0.000 0.000 7.096
Ba Sb W
1 1 2
direct
0.000 0.000 0.000
0.000 0.000 0.500
0.500 0.500 0.335
0.500 0.500 0.665
```

Computed properties:
- Uncorrected formation energy: 0.9664 eV/atom
- Crystal system: orthorhombic

# Tl2NiW

Tl2NiW after structural relaxation (GGA-PBEsol, the Alexandria database).

```
Tl2NiW
1.0
2.957 0.000 0.000
0.000 2.957 0.000
0.000 0.000 8.631
Tl Ni W
2 1 1
direct
0.000 0.000 0.000
0.500 0.500 0.337
0.500 0.500 0.762
0.000 0.000 0.598
```

Computed properties:
- Crystal system: tetragonal
- Total energy: -5.791 eV per atom

no.,calculated density (g cm⁻³)
1,4.91
2,15.69
3,11.31
4,4.55
5,4.83
6,9.17
7,10.92
8,14.33